--- P ---
VASP calculation (PBE) on a relaxed structure of Al2Ga2As.

Calculated values
Calculated density = 4.85 g cm⁻³
DOS(E_F) = 1.8 states/eV/f.u.

Geometry as CIF:
```
data_Al2Ga2As
_cell_length_a 7.9840
_cell_length_b 7.9840
_cell_length_c 2.8853
_cell_angle_alpha 90.00
_cell_angle_beta 90.00
_cell_angle_gamma 90.00
_symmetry_space_group_name_H-M 'P 4/m b m'
_symmetry_Int_Tables_number 127
_symmetry_space_group_name_Hall '-P 4 2ab'
loop_
_atom_site_label
_atom_site_type_symbol
_atom_site_fract_x
_atom_site_fract_y
_atom_site_fract_z
Al1 Al 0.1263 0.3737 0.0000
Ga1 Ga 0.1730 0.6730 0.5000
As1 As 0.0000 0.0000 0.5000
```

=====

--- Q ---
VASP calculation (PBE) on a relaxed structure of Al2Ga2As.

Calculated values
Calculated density = 4.76 g cm⁻³
DOS(E_F) = 2.6 states/eV/f.u.

Geometry as CIF:
```
data_Al2Ga2As
_cell_length_a 7.3902
_cell_length_b 7.3902
_cell_length_c 3.4266
_cell_angle_alpha 90.00
_cell_angle_beta 90.00
_cell_angle_gamma 90.00
_symmetry_space_group_name_H-M 'P 4/m b m'
_symmetry_Int_Tables_number 127
_symmetry_space_group_name_Hall '-P 4 2ab'
loop_
_atom_site_label
_atom_site_type_symbol
_atom_site_fract_x
_atom_site_fract_y
_atom_site_fract_z
Al1 Al 0.1300 0.3700 0.0000
Ga1 Ga 0.1743 0.6743 0.5000
As1 As 0.0000 0.0000 0.0000
```

=====

Quick one: least stable of them? Q

=====

--- P ---
VASP calculation (PBE) on a relaxed structure of AlGaAs2.

Calculated values
Calculated density = 4.33 g cm⁻³

Geometry as CIF:
```
data_AlGaAs2
_cell_length_a 4.0609
_cell_length_b 4.0609
_cell_length_c 19.8624
_cell_angle_alpha 90.00
_cell_angle_beta 90.00
_cell_angle_gamma 120.00
_symmetry_space_group_name_H-M 'R 3 m'
_symmetry_Int_Tables_number 160
_symmetry_space_group_name_Hall 'R 3 -2"'
loop_
_atom_site_label
_atom_site_type_symbol
_atom_site_fract_x
_atom_site_fract_y
_atom_site_fract_z
Al1 Al 0.0000 0.0000 0.0000
Ga1 Ga 0.0000 0.0000 0.5004
As1 As 0.0000 0.0000 0.1250
As2 As 0.0000 0.0000 0.6258
```

=====

--- Q ---
VASP calculation (PBE) on a relaxed structure of AlGaAs2.

Calculated values
Calculated density = 5.57 g cm⁻³
DOS(E_F) = 2.0 states/eV/f.u.

Geometry as CIF:
```
data_AlGaAs2
_cell_length_a 6.6504
_cell_length_b 6.6504
_cell_length_c 6.6504
_cell_angle_alpha 90.00
_cell_angle_beta 90.00
_cell_angle_gamma 90.00
_symmetry_space_group_name_H-M 'F m -3 m'
_symmetry_Int_Tables_number 225
_symmetry_space_group_name_Hall '-F 4 2 3'
loop_
_atom_site_label
_atom_site_type_symbol
_atom_site_fract_x
_atom_site_fract_y
_atom_site_fract_z
Al1 Al 0.0000 0.0000 0.0000
Ga1 Ga 0.0000 0.0000 0.5000
As1 As 0.2500 0.2500 0.2500
```

=====

Quick one: least stable of them? Q

=====

--- P ---
VASP calculation (PBE) on a relaxed structure of AlGaAs2.

Calculated values
Calculated density = 4.33 g cm⁻³
DOS(E_F) = 0.0 states/eV/f.u.

Geometry as CIF:
```
data_AlGaAs2
_cell_length_a 5.7392
_cell_length_b 5.7392
_cell_length_c 11.4831
_cell_angle_alpha 90.00
_cell_angle_beta 90.00
_cell_angle_gamma 90.00
_symmetry_space_group_name_H-M 'I -4 2 d'
_symmetry_Int_Tables_number 122
_symmetry_space_group_name_Hall 'I -4 2bw'
loop_
_atom_site_label
_atom_site_type_symbol
_atom_site_fract_x
_atom_site_fract_y
_atom_site_fract_z
Al1 Al 0.0000 0.0000 0.0000
Ga1 Ga 0.0000 0.0000 0.5000
As1 As 0.2487 0.2500 0.1250
```

=====

--- Q ---
VASP calculation (PBE) on a relaxed structure of AlGaAs2.

Calculated values
Calculated density = 4.90 g cm⁻³
DOS(E_F) = 1.9 states/eV/f.u.

Geometry as CIF:
```
data_AlGaAs2
_cell_length_a 3.1741
_cell_length_b 3.1741
_cell_length_c 28.7225
_cell_angle_alpha 90.00
_cell_angle_beta 90.00
_cell_angle_gamma 120.00
_symmetry_space_group_name_H-M 'R -3 m'
_symmetry_Int_Tables_number 166
_symmetry_space_group_name_Hall '-R 3 2"'
loop_
_atom_site_label
_atom_site_type_symbol
_atom_site_fract_x
_atom_site_fract_y
_atom_site_fract_z
Al1 Al 0.0000 0.0000 0.0000
Ga1 Ga 0.0000 0.0000 0.5000
As1 As 0.0000 0.0000 0.3982
```

=====

Quick one: least stable of them? Q

=====

--- P ---
VASP calculation (PBE) on a relaxed structure of Al2GeAs.

Calculated values
Calculated density = 4.68 g cm⁻³
DOS(E_F) = 1.5 states/eV/f.u.

Geometry as CIF:
```
data_Al2GeAs
_cell_length_a 6.5904
_cell_length_b 6.5904
_cell_length_c 6.5904
_cell_angle_alpha 90.00
_cell_angle_beta 90.00
_cell_angle_gamma 90.00
_symmetry_space_group_name_H-M 'F m -3 m'
_symmetry_Int_Tables_number 225
_symmetry_space_group_name_Hall '-F 4 2 3'
loop_
_atom_site_label
_atom_site_type_symbol
_atom_site_fract_x
_atom_site_fract_y
_atom_site_fract_z
Al1 Al 0.2500 0.2500 0.2500
Ge1 Ge 0.0000 0.0000 0.0000
As1 As 0.0000 0.0000 0.5000
```

=====

--- Q ---
VASP calculation (PBE) on a relaxed structure of Al2GeAs.

Calculated values
Calculated density = 3.58 g cm⁻³
DOS(E_F) = 2.3 states/eV/f.u.

Geometry as CIF:
```
data_Al2GeAs
_cell_length_a 3.8388
_cell_length_b 3.8388
_cell_length_c 21.9920
_cell_angle_alpha 90.00
_cell_angle_beta 90.00
_cell_angle_gamma 120.00
_symmetry_space_group_name_H-M 'R -3 m'
_symmetry_Int_Tables_number 166
_symmetry_space_group_name_Hall '-R 3 2"'
loop_
_atom_site_label
_atom_site_type_symbol
_atom_site_fract_x
_atom_site_fract_y
_atom_site_fract_z
Al1 Al 0.0000 0.0000 0.1095
Ge1 Ge 0.0000 0.0000 0.5000
As1 As 0.0000 0.0000 0.0000
```

=====

--- R ---
VASP calculation (PBE) on a relaxed structure of Al2GeAs.

Calculated values
Calculated density = 3.46 g cm⁻³
DOS(E_F) = 2.5 states/eV/f.u.

Geometry as CIF:
```
data_Al2GeAs
_cell_length_a 5.8549
_cell_length_b 5.8549
_cell_length_c 11.2970
_cell_angle_alpha 90.00
_cell_angle_beta 90.00
_cell_angle_gamma 90.00
_symmetry_space_group_name_H-M 'I -4 2 d'
_symmetry_Int_Tables_number 122
_symmetry_space_group_name_Hall 'I -4 2bw'
loop_
_atom_site_label
_atom_site_type_symbol
_atom_site_fract_x
_atom_site_fract_y
_atom_site_fract_z
Al1 Al 0.2460 0.2500 0.1250
Ge1 Ge 0.0000 0.0000 0.5000
As1 As 0.0000 0.0000 0.0000
```

=====

Quick one: least stable of them? Q

=====

--- P ---
VASP calculation (PBE) on a relaxed structure of AlGeAs2.

Calculated values
Calculated density = 5.55 g cm⁻³
DOS(E_F) = 2.5 states/eV/f.u.

Geometry as CIF:
```
data_AlGeAs2
_cell_length_a 6.6854
_cell_length_b 6.6854
_cell_length_c 6.6854
_cell_angle_alpha 90.00
_cell_angle_beta 90.00
_cell_angle_gamma 90.00
_symmetry_space_group_name_H-M 'F m -3 m'
_symmetry_Int_Tables_number 225
_symmetry_space_group_name_Hall '-F 4 2 3'
loop_
_atom_site_label
_atom_site_type_symbol
_atom_site_fract_x
_atom_site_fract_y
_atom_site_fract_z
Al1 Al 0.0000 0.0000 0.0000
Ge1 Ge 0.0000 0.0000 0.5000
As1 As 0.2500 0.2500 0.2500
```

=====

--- Q ---
VASP calculation (PBE) on a relaxed structure of AlGeAs2.

Calculated values
Calculated density = 4.10 g cm⁻³
DOS(E_F) = 2.5 states/eV/f.u.

Geometry as CIF:
```
data_AlGeAs2
_cell_length_a 5.8426
_cell_length_b 5.8426
_cell_length_c 11.8252
_cell_angle_alpha 90.00
_cell_angle_beta 90.00
_cell_angle_gamma 90.00
_symmetry_space_group_name_H-M 'I -4 2 d'
_symmetry_Int_Tables_number 122
_symmetry_space_group_name_Hall 'I -4 2bw'
loop_
_atom_site_label
_atom_site_type_symbol
_atom_site_fract_x
_atom_site_fract_y
_atom_site_fract_z
Al1 Al 0.0000 0.0000 0.0000
Ge1 Ge 0.0000 0.0000 0.5000
As1 As 0.2352 0.2500 0.1250
```

=====

--- R ---
VASP calculation (PBE) on a relaxed structure of AlGeAs2.

Calculated values
Calculated density = 4.33 g cm⁻³
DOS(E_F) = 2.7 states/eV/f.u.

Geometry as CIF:
```
data_AlGeAs2
_cell_length_a 3.7970
_cell_length_b 3.7970
_cell_length_c 22.9642
_cell_angle_alpha 90.00
_cell_angle_beta 90.00
_cell_angle_gamma 120.00
_symmetry_space_group_name_H-M 'R -3 m'
_symmetry_Int_Tables_number 166
_symmetry_space_group_name_Hall '-R 3 2"'
loop_
_atom_site_label
_atom_site_type_symbol
_atom_site_fract_x
_atom_site_fract_y
_atom_site_fract_z
Al1 Al 0.0000 0.0000 0.0000
Ge1 Ge 0.0000 0.0000 0.5000
As1 As 0.0000 0.0000 0.1046
```

=====

Quick one: least stable of them? R

=====

--- P ---
VASP calculation (PBE) on a relaxed structure of Al3AsH.

Calculated values
Calculated density = 2.05 g cm⁻³
DOS(E_F) = 3.0 states/eV/f.u.

Geometry as CIF:
```
data_Al3AsH
_cell_length_a 5.0303
_cell_length_b 5.0303
_cell_length_c 5.0303
_cell_angle_alpha 90.00
_cell_angle_beta 90.00
_cell_angle_gamma 90.00
_symmetry_space_group_name_H-M 'P m -3 m'
_symmetry_Int_Tables_number 221
_symmetry_space_group_name_Hall '-P 4 2 3'
loop_
_atom_site_label
_atom_site_type_symbol
_atom_site_fract_x
_atom_site_fract_y
_atom_site_fract_z
Al1 Al 0.0000 0.0000 0.5000
As1 As 0.0000 0.0000 0.0000
H1 H 0.5000 0.5000 0.5000
```

=====

--- Q ---
VASP calculation (PBE) on a relaxed structure of Al3AsH.

Calculated values
Calculated density = 3.55 g cm⁻³
DOS(E_F) = 2.0 states/eV/f.u.

Geometry as CIF:
```
data_Al3AsH
_cell_length_a 4.1848
_cell_length_b 4.1848
_cell_length_c 4.1848
_cell_angle_alpha 90.00
_cell_angle_beta 90.00
_cell_angle_gamma 90.00
_symmetry_space_group_name_H-M 'P m -3 m'
_symmetry_Int_Tables_number 221
_symmetry_space_group_name_Hall '-P 4 2 3'
loop_
_atom_site_label
_atom_site_type_symbol
_atom_site_fract_x
_atom_site_fract_y
_atom_site_fract_z
Al1 Al 0.0000 0.0000 0.5000
As1 As 0.5000 0.5000 0.5000
H1 H 0.0000 0.0000 0.0000
```

=====

Quick one: least stable of them? P